A plane-wave DFT calculation with PBE with a Hubbard U was carried out for a relaxed Li2VF6 crystal.

Computed properties:
* theoretical density: 2.8 g/cm³
* energy above the lowest structure with this stoichiometry: 0.012 eV/atom
* symmetry: Pna2_1
* E_tot: -0.39332 Ry per atom

Cell lengths 9.8885, 8.9664, 4.8368 Å; angles 90.00, 90.00, 90.00 degrees
Last column: nearest neighbours and their distance in Å.
Positions (direct):
Li1 0.1110 0.1037 0.0000  6 F 1.99-2.20
Li2 0.1145 0.4908 0.5052  4 F 1.92-1.94
Li3 0.3855 0.9908 0.0052  4 F 1.92-1.94
Li4 0.3890 0.6037 0.5000  6 F 1.99-2.20
Li5 0.6110 0.3963 0.0000  6 F 1.99-2.20
Li6 0.6145 0.0092 0.5052  4 F 1.92-1.94
Li7 0.8855 0.5092 0.0052  4 F 1.92-1.94
Li8 0.8890 0.8963 0.5000  6 F 1.99-2.20
V1 0.1292 0.7562 0.0032  6 F 1.82-1.94
V2 0.3708 0.2562 0.5032  6 F 1.82-1.94
V3 0.6292 0.7438 0.0032  6 F 1.82-1.94
V4 0.8708 0.2438 0.5032  6 F 1.82-1.94
F1 0.0123 0.2422 0.7511  1 V 1.84, 1 Li 1.99
F2 0.0370 0.5943 0.8150  2 Li 1.92, 1 V 1.94
F3 0.0382 0.9022 0.7881  1 V 1.90, 1 Li 2.03
F4 0.2133 0.6152 0.2478  1 V 1.92, 2 Li 1.94-2.13
F5 0.2175 0.9208 0.1692  1 V 1.89, 2 Li 1.94-2.11
F6 0.2316 0.2386 0.2595  1 V 1.82
F7 0.2684 0.7386 0.7595  1 V 1.82
F8 0.2825 0.4208 0.6692  1 V 1.89, 2 Li 1.94-2.11
F9 0.2867 0.1152 0.7478  1 V 1.92, 2 Li 1.94-2.13
F10 0.4618 0.4022 0.2881  1 V 1.90, 1 Li 2.03
F11 0.4630 0.0943 0.3150  2 Li 1.92, 1 V 1.94
F12 0.4877 0.7422 0.2511  1 V 1.84, 1 Li 1.99
F13 0.5123 0.2578 0.7511  1 V 1.84, 1 Li 1.99
F14 0.5370 0.9057 0.8150  2 Li 1.92, 1 V 1.94
F15 0.5382 0.5978 0.7881  1 V 1.90, 1 Li 2.03
F16 0.7133 0.8848 0.2478  1 V 1.92, 2 Li 1.94-2.13
F17 0.7175 0.5792 0.1692  1 V 1.89, 2 Li 1.94-2.11
F18 0.7316 0.2614 0.2595  1 V 1.82
F19 0.7684 0.7614 0.7595  1 V 1.82
F20 0.7825 0.0792 0.6692  1 V 1.89, 2 Li 1.94-2.11
F21 0.7867 0.3848 0.7478  1 V 1.92, 2 Li 1.94-2.13
F22 0.9618 0.0978 0.2881  1 V 1.90, 1 Li 2.03
F23 0.9630 0.4057 0.3150  2 Li 1.92, 1 V 1.94
F24 0.9877 0.7578 0.2511  1 V 1.84, 1 Li 1.99